(1)
An optimized crystal structure of BeNi3. Source: OQMD, functional GGA-PBE. Values from VASP.

Calculated values
* DFT total energy: -5.246 eV/atom

The structure in Quantum ESPRESSO input format:
```
&SYSTEM
  ibrav = 0, nat = 4, ntyp = 2
/
ATOMIC_SPECIES
Be 9.01 Be.upf
Ni 58.69 Ni.upf
CELL_PARAMETERS angstrom
0.000 2.716 2.716
2.716 0.000 2.716
2.716 2.716 0.000
ATOMIC_POSITIONS crystal
Be 0.000 0.000 0.000
Ni 0.250 0.250 0.250
Ni 0.500 0.500 0.500
Ni 0.750 0.750 0.750
```

---

(2)
An optimized crystal structure of BeNiOs. Source: OQMD, functional GGA-PBE. Values from VASP.

Calculated values
* polymorph energy (0 for the lowest one): 0.0 meV per atom

The structure in Quantum ESPRESSO input format:
```
&SYSTEM
  ibrav = 0, nat = 3, ntyp = 3
/
ATOMIC_SPECIES
Be 9.01 Be.upf
Ni 58.69 Ni.upf
Os 190.23 Os.upf
CELL_PARAMETERS angstrom
0.000 2.607 2.607
2.607 0.000 2.607
2.607 2.607 0.000
ATOMIC_POSITIONS crystal
Be 0.000 0.000 0.000
Ni 0.750 0.750 0.750
Os 0.250 0.250 0.250
```

---

(3)
An optimized crystal structure of Be2NiOs. Source: OQMD, functional GGA-PBE. Values from VASP.

Calculated values
* DFT total energy: -5.971 eV/atom

The structure in Quantum ESPRESSO input format:
```
&SYSTEM
  ibrav = 0, nat = 4, ntyp = 3
/
ATOMIC_SPECIES
Be 9.01 Be.upf
Ni 58.69 Ni.upf
Os 190.23 Os.upf
CELL_PARAMETERS angstrom
0.000 2.775 2.775
2.775 0.000 2.775
2.775 2.775 0.000
ATOMIC_POSITIONS crystal
Be 0.000 0.000 0.000
Be 0.250 0.250 0.250
Ni 0.500 0.500 0.500
Os 0.750 0.750 0.750
```

---

(4)
An optimized crystal structure of BeNiOs. Source: OQMD, functional GGA-PBE. Values from VASP.

Calculated values
* polymorph energy (0 for the lowest one): 322.4 meV per atom

The structure in Quantum ESPRESSO input format:
```
&SYSTEM
  ibrav = 0, nat = 3, ntyp = 3
/
ATOMIC_SPECIES
Be 9.01 Be.upf
Ni 58.69 Ni.upf
Os 190.23 Os.upf
CELL_PARAMETERS angstrom
0.000 2.741 2.741
2.741 0.000 2.741
2.741 2.741 0.000
ATOMIC_POSITIONS crystal
Be 0.000 0.000 0.000
Ni 0.500 0.500 0.500
Os 0.250 0.250 0.250
```

---

(5)
An optimized crystal structure of BeNiOsPb. Source: OQMD, functional GGA-PBE. Values from VASP.

Calculated values
* DFT total energy: -5.400 eV/atom

The structure in Quantum ESPRESSO input format:
```
&SYSTEM
  ibrav = 0, nat = 4, ntyp = 4
/
ATOMIC_SPECIES
Be 9.01 Be.upf
Ni 58.69 Ni.upf
Os 190.23 Os.upf
Pb 207.20 Pb.upf
CELL_PARAMETERS angstrom
0.000 3.046 3.046
3.046 0.000 3.046
3.046 3.046 0.000
ATOMIC_POSITIONS crystal
Be 0.000 0.000 0.000
Ni 0.500 0.500 0.500
Os 0.750 0.750 0.750
Pb 0.250 0.250 0.250
```

---

(6)
An optimized crystal structure of BeNiSbOs. Source: OQMD, functional GGA-PBE. Values from VASP.

Calculated values
* DFT total energy: -5.680 eV/atom

The structure in Quantum ESPRESSO input format:
```
&SYSTEM
  ibrav = 0, nat = 4, ntyp = 4
/
ATOMIC_SPECIES
Be 9.01 Be.upf
Ni 58.69 Ni.upf
Sb 121.76 Sb.upf
Os 190.23 Os.upf
CELL_PARAMETERS angstrom
0.000 3.014 3.014
3.014 0.000 3.014
3.014 3.014 0.000
ATOMIC_POSITIONS crystal
Be 0.000 0.000 0.000
Ni 0.500 0.500 0.500
Sb 0.250 0.250 0.250
Os 0.750 0.750 0.750
```

---

(7)
An optimized crystal structure of BeNiSnOs. Source: OQMD, functional GGA-PBE. Values from VASP.

Calculated values
* DFT total energy: -5.838 eV/atom

The structure in Quantum ESPRESSO input format:
```
&SYSTEM
  ibrav = 0, nat = 4, ntyp = 4
/
ATOMIC_SPECIES
Be 9.01 Be.upf
Ni 58.69 Ni.upf
Sn 118.71 Sn.upf
Os 190.23 Os.upf
CELL_PARAMETERS angstrom
0.000 2.994 2.994
2.994 0.000 2.994
2.994 2.994 0.000
ATOMIC_POSITIONS crystal
Be 0.000 0.000 0.000
Ni 0.500 0.500 0.500
Sn 0.250 0.250 0.250
Os 0.750 0.750 0.750
```

---

(8)
An optimized crystal structure of BeZnNiOs. Source: OQMD, functional GGA-PBE. Values from VASP.

Calculated values
* DFT total energy: -5.314 eV/atom

The structure in Quantum ESPRESSO input format:
```
&SYSTEM
  ibrav = 0, nat = 4, ntyp = 4
/
ATOMIC_SPECIES
Be 9.01 Be.upf
Zn 65.41 Zn.upf
Ni 58.69 Ni.upf
Os 190.23 Os.upf
CELL_PARAMETERS angstrom
0.000 2.872 2.872
2.872 0.000 2.872
2.872 2.872 0.000
ATOMIC_POSITIONS crystal
Be 0.000 0.000 0.000
Zn 0.250 0.250 0.250
Ni 0.500 0.500 0.500
Os 0.750 0.750 0.750
```

---

Number 1: M_tot 0.00 μB per cell. Number 2: M_tot 0.01 μB per cell. Number 3: M_tot 0.96 μB per cell. Number 4: M_tot 2.01 μB per cell. Number 5: M_tot 0.00 μB per cell. Number 6: M_tot 0.02 μB per cell. Number 7: M_tot 0.00 μB per cell. Number 8: M_tot 0.98 μB per cell.